Record 1
Computed, not measured: an optimized crystal structure of CdCuBiIr at the PBE level of DFT.

excess energy over the best structure of this formula in the dataset: 0 meV/atom
E_tot: -4.113 eV per atom
theoretical density: 12.88 Mg/m³
SG: F-43m

Lattice parameters (Å, degrees): 4.7214 4.7214 4.7214 60.00 60.00 60.00
Closest atoms and distances in Å follow each position.
Positions (direct):
1 Ir 0.2500 0.2500 0.2500  4 Cd 2.89, 4 Bi 2.89
2 Cd 0.5000 0.5000 0.5000  4 Cu 2.89, 4 Ir 2.89
3 Bi 0.0000 0.0000 0.0000  4 Cu 2.89, 4 Ir 2.89
4 Cu 0.7500 0.7500 0.7500  4 Bi 2.89, 4 Cd 2.89

Record 2
Computed, not measured: an optimized crystal structure of LuCdCuBi at the PBE level of DFT.

excess energy over the best structure of this formula in the dataset: 23 meV/atom
E_tot: -3.301 eV per atom
theoretical density: 10.11 Mg/m³
SG: F-43m

Lattice parameters (Å, degrees): 5.0666 5.0666 5.0666 60.00 60.00 60.00
Closest atoms and distances in Å follow each position.
Positions (direct):
1 Lu 0.2500 0.2500 0.2500  4 Cd 3.10, 4 Bi 3.10
2 Bi 0.0000 0.0000 0.0000  4 Cu 3.10, 4 Lu 3.10
3 Cd 0.5000 0.5000 0.5000  4 Cu 3.10, 4 Lu 3.10
4 Cu 0.7500 0.7500 0.7500  4 Cd 3.10, 4 Bi 3.10

Record 3
Computed, not measured: an optimized crystal structure of LuCdCuBi at the PBE level of DFT.

excess energy over the best structure of this formula in the dataset: 0 meV/atom
E_tot: -3.324 eV per atom
theoretical density: 10.08 Mg/m³
SG: F-43m

Lattice parameters (Å, degrees): 5.0716 5.0716 5.0716 60.00 60.00 60.00
Closest atoms and distances in Å follow each position.
Positions (direct):
1 Cd 0.2500 0.2500 0.2500  4 Lu 3.11, 4 Bi 3.11
2 Bi 0.0000 0.0000 0.0000  4 Cd 3.11, 4 Cu 3.11
3 Cu 0.7500 0.7500 0.7500  4 Lu 3.11, 4 Bi 3.11
4 Lu 0.5000 0.5000 0.5000  4 Cd 3.11, 4 Cu 3.11

Record 4
Computed, not measured: an optimized crystal structure of CdCuNiBi at the PBE level of DFT.

excess energy over the best structure of this formula in the dataset: 167 meV/atom
E_tot: -3.179 eV per atom
theoretical density: 9.95 Mg/m³
SG: F-43m

Lattice parameters (Å, degrees): 4.7130 4.7130 4.7130 60.00 60.00 60.00
Closest atoms and distances in Å follow each position.
Positions (direct):
1 Cd 0.0000 0.0000 0.0000  4 Cu 2.89, 4 Bi 2.89
2 Bi 0.2500 0.2500 0.2500  4 Ni 2.89, 4 Cd 2.89
3 Ni 0.5000 0.5000 0.5000  4 Bi 2.89, 4 Cu 2.89
4 Cu 0.7500 0.7500 0.7500  4 Ni 2.89, 4 Cd 2.89

Record 5
Computed, not measured: an optimized crystal structure of CdCuNiBi at the PBE level of DFT.

excess energy over the best structure of this formula in the dataset: 0 meV/atom
E_tot: -3.346 eV per atom
theoretical density: 10.18 Mg/m³
SG: F-43m

Lattice parameters (Å, degrees): 4.6782 4.6782 4.6782 60.00 60.00 60.00
Closest atoms and distances in Å follow each position.
Positions (direct):
1 Cu 0.7500 0.7500 0.7500  4 Cd 2.86, 4 Bi 2.86
2 Bi 0.0000 0.0000 0.0000  4 Ni 2.86, 4 Cu 2.86
3 Ni 0.2500 0.2500 0.2500  4 Bi 2.86, 4 Cd 2.86
4 Cd 0.5000 0.5000 0.5000  4 Ni 2.86, 4 Cu 2.86

Record 6
Computed, not measured: an optimized crystal structure of CdCuBiPt at the PBE level of DFT.

excess energy over the best structure of this formula in the dataset: 0 meV/atom
E_tot: -3.629 eV per atom
theoretical density: 12.43 Mg/m³
SG: F-43m

Lattice parameters (Å, degrees): 4.7849 4.7849 4.7849 60.00 60.00 60.00
Closest atoms and distances in Å follow each position.
Positions (direct):
1 Bi 0.0000 0.0000 0.0000  4 Cu 2.93, 4 Pt 2.93
2 Cu 0.7500 0.7500 0.7500  4 Cd 2.93, 4 Bi 2.93
3 Cd 0.5000 0.5000 0.5000  4 Cu 2.93, 4 Pt 2.93
4 Pt 0.2500 0.2500 0.2500  4 Cd 2.93, 4 Bi 2.93

Record 7
Computed, not measured: an optimized crystal structure of ScCdCuBi at the PBE level of DFT.

excess energy over the best structure of this formula in the dataset: 0 meV/atom
E_tot: -3.747 eV per atom
theoretical density: 8.31 Mg/m³
SG: F-43m

Lattice parameters (Å, degrees): 4.9522 4.9522 4.9522 60.00 60.00 60.00
Closest atoms and distances in Å follow each position.
Positions (direct):
1 Cu 0.7500 0.7500 0.7500  4 Cd 3.03, 4 Bi 3.03
2 Cd 0.5000 0.5000 0.5000  4 Sc 3.03, 4 Cu 3.03
3 Bi 0.0000 0.0000 0.0000  4 Cu 3.03, 4 Sc 3.03
4 Sc 0.2500 0.2500 0.2500  4 Cd 3.03, 4 Bi 3.03

Record 8
Computed, not measured: an optimized crystal structure of ScCdCuBi at the PBE level of DFT.

excess energy over the best structure of this formula in the dataset: 35 meV/atom
E_tot: -3.711 eV per atom
theoretical density: 8.11 Mg/m³
SG: F-43m

Lattice parameters (Å, degrees): 4.9941 4.9941 4.9941 60.00 60.00 60.00
Closest atoms and distances in Å follow each position.
Positions (direct):
1 Sc 0.5000 0.5000 0.5000  4 Cd 3.06, 4 Cu 3.06
2 Cd 0.2500 0.2500 0.2500  4 Sc 3.06, 4 Bi 3.06
3 Bi 0.0000 0.0000 0.0000  4 Cd 3.06, 4 Cu 3.06
4 Cu 0.7500 0.7500 0.7500  4 Bi 3.06, 4 Sc 3.06

- Which formula does entry 8 have?
  ScCdCuBi

Copy entry 7 word for word.
Computed, not measured: an optimized crystal structure of ScCdCuBi at the PBE level of DFT.

excess energy over the best structure of this formula in the dataset: 0 meV/atom
E_tot: -3.747 eV per atom
theoretical density: 8.31 Mg/m³
SG: F-43m

Lattice parameters (Å, degrees): 4.9522 4.9522 4.9522 60.00 60.00 60.00
Closest atoms and distances in Å follow each position.
Positions (direct):
1 Cu 0.7500 0.7500 0.7500  4 Cd 3.03, 4 Bi 3.03
2 Cd 0.5000 0.5000 0.5000  4 Sc 3.03, 4 Cu 3.03
3 Bi 0.0000 0.0000 0.0000  4 Cu 3.03, 4 Sc 3.03
4 Sc 0.2500 0.2500 0.2500  4 Cd 3.03, 4 Bi 3.03